A plane-wave DFT calculation with GGA+U was carried out for an optimized crystal structure of RbMoN2F.

POSCAR file:
```
RbMoN2F
1.0
3.9886 0.0000 0.0000
0.0000 3.9886 0.0000
0.0000 0.0000 4.5364
Rb Mo N F
1 1 2 1
Cartesian
0.0000 0.0000 0.0000
1.9943 1.9943 2.2682
0.0000 1.9943 2.2682
1.9943 0.0000 2.2682
1.9943 1.9943 0.0000
```

Results
Raw total energy, eV/atom: -5.714
Energy above the lowest structure with this stoichiometry, eV per formula unit: 0.00
Space-group type: P4/mmm, No. 123